# 1
Computed, not measured: crystalline FeCl at its relaxed geometry at the PBEsol level of DFT.

* magnetization: 12.8 μB per cell
* E_tot: -44.07 eV per cell
* raw formation energy: -0.05 eV/f.u.

CIF file:
```
data_FeCl
_cell_length_a 2.997
_cell_length_b 15.312
_cell_length_c 2.995
_cell_angle_alpha 90.00
_cell_angle_beta 90.00
_cell_angle_gamma 90.00
_symmetry_space_group_name_H-M 'C m c m'
_symmetry_Int_Tables_number 63
_symmetry_space_group_name_Hall '-C 2c 2'
loop_
_atom_site_label
_atom_site_type_symbol
_atom_site_fract_x
_atom_site_fract_y
_atom_site_fract_z
Fe1 Fe 0.000 0.064 0.250
Cl1 Cl 0.000 0.353 0.250
```

---

# 2
Computed, not measured: crystalline Fe3Cl at its relaxed geometry at the PBEsol level of DFT.

* magnetization: 8.4 μB per cell
* E_tot: -27.57 eV per cell
* raw formation energy: 1.33 eV/f.u.

CIF file:
```
data_Fe3Cl
_cell_length_a 2.8753
_cell_length_b 2.8753
_cell_length_c 7.3191
_cell_angle_alpha 90.00
_cell_angle_beta 90.00
_cell_angle_gamma 120.00
_symmetry_space_group_name_H-M 'P -6 m 2'
_symmetry_Int_Tables_number 187
_symmetry_space_group_name_Hall 'P -6 2'
loop_
_atom_site_label
_atom_site_type_symbol
_atom_site_fract_x
_atom_site_fract_y
_atom_site_fract_z
Fe1 Fe 0.0000 0.0000 0.0000
Fe2 Fe 0.3333 0.6667 0.2448
Cl1 Cl 0.0000 0.0000 0.5000
```

---

# 3
Computed, not measured: crystalline FeCl at its relaxed geometry at the PBEsol level of DFT.

* magnetization: 12.0 μB per cell
* E_tot: -40.97 eV per cell
* raw formation energy: 0.73 eV/f.u.

CIF file:
```
data_FeCl
_cell_length_a 4.922
_cell_length_b 4.922
_cell_length_c 4.922
_cell_angle_alpha 90.00
_cell_angle_beta 90.00
_cell_angle_gamma 90.00
_symmetry_space_group_name_H-M 'F m -3 m'
_symmetry_Int_Tables_number 225
_symmetry_space_group_name_Hall '-F 4 2 3'
loop_
_atom_site_label
_atom_site_type_symbol
_atom_site_fract_x
_atom_site_fract_y
_atom_site_fract_z
Fe1 Fe 0.000 0.000 0.000
Cl1 Cl 0.000 0.000 0.500
```

---

# 4
Computed, not measured: crystalline FeCl2 at its relaxed geometry at the PBEsol level of DFT.

* magnetization: 4.0 μB per cell
* E_tot: -14.99 eV per cell
* raw formation energy: -2.02 eV/f.u.

CIF file:
```
data_FeCl2
_cell_length_a 3.4213
_cell_length_b 3.4213
_cell_length_c 6.1312
_cell_angle_alpha 90.00
_cell_angle_beta 90.00
_cell_angle_gamma 120.00
_symmetry_space_group_name_H-M 'P -3 m 1'
_symmetry_Int_Tables_number 164
_symmetry_space_group_name_Hall '-P 3 2"'
loop_
_atom_site_label
_atom_site_type_symbol
_atom_site_fract_x
_atom_site_fract_y
_atom_site_fract_z
Fe1 Fe 0.0000 0.0000 0.0000
Cl1 Cl 0.3333 0.6667 0.2285
```

---

# 5
Computed, not measured: crystalline FeCl at its relaxed geometry at the PBEsol level of DFT.

* magnetization: 6.4 μB per cell
* E_tot: -22.05 eV per cell
* raw formation energy: -0.05 eV/f.u.

CIF file:
```
data_FeCl
_cell_length_a 2.928
_cell_length_b 2.928
_cell_length_c 7.664
_cell_angle_alpha 90.00
_cell_angle_beta 90.00
_cell_angle_gamma 90.00
_symmetry_space_group_name_H-M 'P 4/n m m'
_symmetry_Int_Tables_number 129
loop_
_symmetry_equiv_pos_as_xyz
'x,y,z'
'-x,-y,-z'
'-y+1/2,x,z'
'y+1/2,-x,-z'
'-x+1/2,-y+1/2,z'
'x+1/2,y+1/2,-z'
'y,-x+1/2,z'
'-y,x+1/2,-z'
'x+1/2,-y,-z'
'-x+1/2,y,z'
'-y,-x,-z'
'y,x,z'
'-x,y+1/2,-z'
'x,-y+1/2,z'
'y+1/2,x+1/2,-z'
'-y+1/2,-x+1/2,z'
loop_
_atom_site_label
_atom_site_type_symbol
_atom_site_fract_x
_atom_site_fract_y
_atom_site_fract_z
Fe1 Fe 0.250 0.250 0.119
Cl1 Cl 0.250 0.250 0.707
```

---

# 6
Computed, not measured: crystalline FeCl at its relaxed geometry at the PBEsol level of DFT.

* magnetization: 12.6 μB per cell
* E_tot: -44.38 eV per cell
* raw formation energy: -0.12 eV/f.u.

CIF file:
```
data_FeCl
_cell_length_a 15.625
_cell_length_b 2.985
_cell_length_c 2.963
_cell_angle_alpha 90.00
_cell_angle_beta 91.19
_cell_angle_gamma 90.00
_symmetry_space_group_name_H-M 'C 1 2/m 1'
_symmetry_Int_Tables_number 12
loop_
_symmetry_equiv_pos_as_xyz
'x,y,z'
'-x,-y,-z'
'-x,y,-z'
'x,-y,z'
'x+1/2,y+1/2,z'
'-x+1/2,-y+1/2,-z'
'-x+1/2,y+1/2,-z'
'x+1/2,-y+1/2,z'
loop_
_atom_site_label
_atom_site_type_symbol
_atom_site_fract_x
_atom_site_fract_y
_atom_site_fract_z
Fe1 Fe 0.195 0.000 0.339
Cl1 Cl 0.110 0.500 0.811
```

---

# 7
Computed, not measured: crystalline GaFe2Cl at its relaxed geometry at the PBEsol level of DFT.

* magnetization: 16.1 μB per cell
* E_tot: -85.21 eV per cell
* raw formation energy: 1.97 eV/f.u.

CIF file:
```
data_GaFe2Cl
_cell_length_a 5.918
_cell_length_b 5.918
_cell_length_c 5.918
_cell_angle_alpha 90.00
_cell_angle_beta 90.00
_cell_angle_gamma 90.00
_symmetry_space_group_name_H-M 'F m -3 m'
_symmetry_Int_Tables_number 225
_symmetry_space_group_name_Hall '-F 4 2 3'
loop_
_atom_site_label
_atom_site_type_symbol
_atom_site_fract_x
_atom_site_fract_y
_atom_site_fract_z
Ga1 Ga 0.000 0.000 0.000
Fe1 Fe 0.250 0.250 0.250
Cl1 Cl 0.000 0.000 0.500
```

---

# 8
Computed, not measured: crystalline GaFeP2Cl at its relaxed geometry at the PBEsol level of DFT.

* magnetization: 3.8 μB per cell
* E_tot: -21.03 eV per cell
* raw formation energy: 4.87 eV/f.u.

CIF file:
```
data_GaFeP2Cl
_cell_length_a 4.628
_cell_length_b 4.628
_cell_length_c 4.707
_cell_angle_alpha 90.00
_cell_angle_beta 90.00
_cell_angle_gamma 90.00
_symmetry_space_group_name_H-M 'P 4/m m m'
_symmetry_Int_Tables_number 123
_symmetry_space_group_name_Hall '-P 4 2'
loop_
_atom_site_label
_atom_site_type_symbol
_atom_site_fract_x
_atom_site_fract_y
_atom_site_fract_z
Ga1 Ga 0.000 0.000 0.000
Fe1 Fe 0.500 0.500 0.500
P1 P 0.000 0.500 0.000
Cl1 Cl 0.000 0.000 0.500
```

---

# 9
Computed, not measured: crystalline FeGePCl2 at its relaxed geometry at the PBEsol level of DFT.

* magnetization: 2.7 μB per cell
* E_tot: -22.77 eV per cell
* raw formation energy: 0.94 eV/f.u.

CIF file:
```
data_FeGePCl2
_cell_length_a 4.407
_cell_length_b 4.407
_cell_length_c 4.759
_cell_angle_alpha 90.00
_cell_angle_beta 90.00
_cell_angle_gamma 90.00
_symmetry_space_group_name_H-M 'P 4/m m m'
_symmetry_Int_Tables_number 123
_symmetry_space_group_name_Hall '-P 4 2'
loop_
_atom_site_label
_atom_site_type_symbol
_atom_site_fract_x
_atom_site_fract_y
_atom_site_fract_z
Fe1 Fe 0.000 0.000 0.000
Ge1 Ge 0.500 0.500 0.500
P1 P 0.000 0.000 0.500
Cl1 Cl 0.000 0.500 0.000
```

---

# 10
Computed, not measured: crystalline FeHCl2 at its relaxed geometry at the PBEsol level of DFT.

* magnetization: 9.0 μB per cell
* E_tot: -49.81 eV per cell

CIF file:
```
data_FeHCl2
_cell_length_a 3.4716
_cell_length_b 3.4716
_cell_length_c 17.8756
_cell_angle_alpha 90.00
_cell_angle_beta 90.00
_cell_angle_gamma 120.00
_symmetry_space_group_name_H-M 'R -3 m'
_symmetry_Int_Tables_number 166
_symmetry_space_group_name_Hall '-R 3 2"'
loop_
_atom_site_label
_atom_site_type_symbol
_atom_site_fract_x
_atom_site_fract_y
_atom_site_fract_z
Fe1 Fe 0.0000 0.0000 0.0000
H1 H 0.0000 0.0000 0.5000
Cl1 Cl 0.0000 0.0000 0.4112
```

---

# 11
Computed, not measured: crystalline FeH2Cl2 at its relaxed geometry at the PBEsol level of DFT.

* magnetization: 8.0 μB per cell
* E_tot: -39.58 eV per cell

CIF file:
```
data_FeH2Cl2
_cell_length_a 4.388
_cell_length_b 4.388
_cell_length_c 6.226
_cell_angle_alpha 90.00
_cell_angle_beta 90.00
_cell_angle_gamma 90.00
_symmetry_space_group_name_H-M 'I 4/m m m'
_symmetry_Int_Tables_number 139
_symmetry_space_group_name_Hall '-I 4 2'
loop_
_atom_site_label
_atom_site_type_symbol
_atom_site_fract_x
_atom_site_fract_y
_atom_site_fract_z
Fe1 Fe 0.000 0.000 0.000
H1 H 0.000 0.000 0.439
Cl1 Cl 0.000 0.500 0.250
```

---

# 12
Computed, not measured: crystalline FeHCl3 at its relaxed geometry at the PBEsol level of DFT.

* magnetization: 4.2 μB per cell
* E_tot: -15.74 eV per cell

CIF file:
```
data_FeHCl3
_cell_length_a 4.257
_cell_length_b 4.257
_cell_length_c 4.257
_cell_angle_alpha 90.00
_cell_angle_beta 90.00
_cell_angle_gamma 90.00
_symmetry_space_group_name_H-M 'P m -3 m'
_symmetry_Int_Tables_number 221
_symmetry_space_group_name_Hall '-P 4 2 3'
loop_
_atom_site_label
_atom_site_type_symbol
_atom_site_fract_x
_atom_site_fract_y
_atom_site_fract_z
Fe1 Fe 0.000 0.000 0.000
H1 H 0.500 0.500 0.500
Cl1 Cl 0.000 0.500 0.500
```